No. 1
## LiGdCoIr (GGA-PBE)

Data for a geometry-optimized LiGdCoIr structure.

abc: 4.4779 4.4779 4.4779
angles: 60.00 60.00 60.00
With the nearest neighbours (Å) after each atom.
Element x y z (fractional)
Gd 0.5000 0.5000 0.5000  4 Co 2.74, 4 Li 2.74
Ir 0.0000 0.0000 0.0000  4 Li 2.74, 4 Co 2.74
Co 0.2500 0.2500 0.2500  4 Gd 2.74, 4 Ir 2.74
Li 0.7500 0.7500 0.7500  4 Gd 2.74, 4 Ir 2.74

- E_form (eV per formula unit) = -0.5
- magnetic moment (μB/f.u.) = 5.6

No. 2
## NdGdCoIr (GGA-PBE)

Data for a geometry-optimized NdGdCoIr structure.

abc: 4.9089 4.9089 4.9089
angles: 60.00 60.00 60.00
With the nearest neighbours (Å) after each atom.
Element x y z (fractional)
Gd 0.5000 0.5000 0.5000  4 Co 3.01, 4 Ir 3.01
Co 0.7500 0.7500 0.7500  4 Gd 3.01, 4 Nd 3.01
Ir 0.2500 0.2500 0.2500  4 Nd 3.01, 4 Gd 3.01
Nd 0.0000 0.0000 0.0000  4 Co 3.01, 4 Ir 3.01

- E_form (eV per formula unit) = -1.4
- magnetic moment (μB/f.u.) = 7.5

No. 3
## GdNpCoIr (GGA-PBE)

Data for a geometry-optimized GdNpCoIr structure.

abc: 4.8009 4.8009 4.8009
angles: 60.00 60.00 60.00
With the nearest neighbours (Å) after each atom.
Element x y z (fractional)
Np 0.7500 0.7500 0.7500  4 Ir 2.94, 4 Co 2.94
Gd 0.2500 0.2500 0.2500  4 Co 2.94, 4 Ir 2.94
Ir 0.0000 0.0000 0.0000  4 Np 2.94, 4 Gd 2.94
Co 0.5000 0.5000 0.5000  4 Gd 2.94, 4 Np 2.94

- E_form (eV per formula unit) = -0.8
- magnetic moment (μB/f.u.) = 10.1

no.,E (eV/atom),N(E_F) (states/eV per cell)
1,-8.1264,3.5
2,-9.0491,1.0
3,-10.9434,6.3